1.
# InGa2CoCl (PBE, optimized geometry)
# **E above lowest polymorph**: 0.000 eV/atom
# **Total DFT energy (no corrections)**: -19.374 eV per cell
# **E_form (uncorrected)**: -0.33 eV/atom
# **Spin magnetization**: 0.0 μB per formula unit
data_InGa2CoCl
_chemical_formula_sum 'In1 Ga2 Co1 Cl1'
_cell_length_a 4.599
_cell_length_b 4.599
_cell_length_c 5.076
_cell_angle_alpha 90.00
_cell_angle_beta 90.00
_cell_angle_gamma 90.00
_space_group_name_H-M_alt 'P 4/m m m'
_space_group_IT_number 123
_space_group_name_Hall '-P 4 2'
loop_
_atom_site_label
_atom_site_fract_x
_atom_site_fract_y
_atom_site_fract_z
In1 0.000 0.000 0.000
Ga1 0.000 0.500 0.500
Co1 0.000 0.000 0.500
Cl1 0.500 0.500 0.000

2.
# Nd4GaCoCl2 (PBE, optimized geometry)
# **Total DFT energy (no corrections)**: -39.922 eV per cell
# **E_form (uncorrected)**: -0.88 eV/atom
# **Spin magnetization**: 0.0 μB per formula unit
data_Nd4GaCoCl2
_chemical_formula_sum 'Nd4 Ga1 Co1 Cl2'
_cell_length_a 7.461
_cell_length_b 3.973
_cell_length_c 7.747
_cell_angle_alpha 90.00
_cell_angle_beta 108.41
_cell_angle_gamma 90.00
_space_group_name_H-M_alt 'P 1 2/m 1'
_space_group_IT_number 10
loop_
_space_group_symop_operation_xyz
'x,y,z'
'-x,-y,-z'
'-x,y,-z'
'x,-y,z'
loop_
_atom_site_label
_atom_site_fract_x
_atom_site_fract_y
_atom_site_fract_z
Nd1 0.222 0.000 0.284
Nd2 0.232 0.500 0.710
Ga1 0.500 0.500 0.500
Co1 0.000 0.000 0.500
Cl1 0.000 0.500 0.000
Cl2 0.500 0.000 0.000

3.
# Nd6GaCo2Cl3 (PBE, optimized geometry)
# **Total DFT energy (no corrections)**: -123.715 eV per cell
# **E_form (uncorrected)**: -0.87 eV/atom
# **Spin magnetization**: 0.0 μB per formula unit
data_Nd6GaCo2Cl3
_chemical_formula_sum 'Nd12 Ga2 Co4 Cl6'
_cell_length_a 19.162
_cell_length_b 3.991
_cell_length_c 8.852
_cell_angle_alpha 90.00
_cell_angle_beta 108.36
_cell_angle_gamma 90.00
_space_group_name_H-M_alt 'C 1 2/m 1'
_space_group_IT_number 12
loop_
_space_group_symop_operation_xyz
'x,y,z'
'-x,-y,-z'
'-x,y,-z'
'x,-y,z'
'x+1/2,y+1/2,z'
'-x+1/2,-y+1/2,-z'
'-x+1/2,y+1/2,-z'
'x+1/2,-y+1/2,z'
loop_
_atom_site_label
_atom_site_fract_x
_atom_site_fract_y
_atom_site_fract_z
Nd1 0.021 0.000 0.258
Nd2 0.163 0.500 0.124
Nd3 0.181 0.500 0.567
Ga1 0.000 0.500 0.000
Co1 0.170 0.000 0.344
Cl1 0.000 0.500 0.500
Cl2 0.165 0.000 0.842

4.
# GaCoPCl2 (PBE, optimized geometry)
# **E above lowest polymorph**: 0.600 eV/atom
# **Total DFT energy (no corrections)**: -16.304 eV per cell
# **E_form (uncorrected)**: 0.59 eV/atom
# **Spin magnetization**: 1.8 μB per formula unit
data_GaCoPCl2
_chemical_formula_sum 'Ga1 Co1 P1 Cl2'
_cell_length_a 4.704
_cell_length_b 4.704
_cell_length_c 5.079
_cell_angle_alpha 90.00
_cell_angle_beta 90.00
_cell_angle_gamma 90.00
_space_group_name_H-M_alt 'P 4/m m m'
_space_group_IT_number 123
_space_group_name_Hall '-P 4 2'
loop_
_atom_site_label
_atom_site_fract_x
_atom_site_fract_y
_atom_site_fract_z
Ga1 0.000 0.000 0.000
Co1 0.500 0.500 0.500
P1 0.000 0.000 0.500
Cl1 0.000 0.500 0.000

5.
# GaCoPCl2 (PBE, optimized geometry)
# **E above lowest polymorph**: 0.000 eV/atom
# **Total DFT energy (no corrections)**: -19.302 eV per cell
# **E_form (uncorrected)**: -0.01 eV/atom
# **Spin magnetization**: 0.0 μB per formula unit
data_GaCoPCl2
_chemical_formula_sum 'Ga1 Co1 P1 Cl2'
_cell_length_a 4.965
_cell_length_b 4.965
_cell_length_c 4.213
_cell_angle_alpha 90.00
_cell_angle_beta 90.00
_cell_angle_gamma 90.00
_space_group_name_H-M_alt 'P 4/m m m'
_space_group_IT_number 123
_space_group_name_Hall '-P 4 2'
loop_
_atom_site_label
_atom_site_fract_x
_atom_site_fract_y
_atom_site_fract_z
Ga1 0.000 0.000 0.000
Co1 0.500 0.500 0.500
P1 0.500 0.500 0.000
Cl1 0.000 0.500 0.500

6.
# Pm6GaCo2Cl3 (PBE, optimized geometry)
# **Total DFT energy (no corrections)**: -123.650 eV per cell
# **E_form (uncorrected)**: -0.88 eV/atom
# **Spin magnetization**: 0.0 μB per formula unit
data_Pm6GaCo2Cl3
_chemical_formula_sum 'Pm12 Ga2 Co4 Cl6'
_cell_length_a 19.086
_cell_length_b 3.956
_cell_length_c 8.775
_cell_angle_alpha 90.00
_cell_angle_beta 108.30
_cell_angle_gamma 90.00
_space_group_name_H-M_alt 'C 1 2/m 1'
_space_group_IT_number 12
loop_
_space_group_symop_operation_xyz
'x,y,z'
'-x,-y,-z'
'-x,y,-z'
'x,-y,z'
'x+1/2,y+1/2,z'
'-x+1/2,-y+1/2,-z'
'-x+1/2,y+1/2,-z'
'x+1/2,-y+1/2,z'
loop_
_atom_site_label
_atom_site_fract_x
_atom_site_fract_y
_atom_site_fract_z
Pm1 0.022 0.000 0.259
Pm2 0.162 0.500 0.125
Pm3 0.181 0.500 0.569
Ga1 0.000 0.500 0.000
Co1 0.170 0.000 0.345
Cl1 0.000 0.500 0.500
Cl2 0.166 0.000 0.844

7.
# Pr6GaCo2Cl3 (PBE, optimized geometry)
# **Total DFT energy (no corrections)**: -123.736 eV per cell
# **E_form (uncorrected)**: -0.87 eV/atom
# **Spin magnetization**: 0.0 μB per formula unit
data_Pr6GaCo2Cl3
_chemical_formula_sum 'Pr12 Ga2 Co4 Cl6'
_cell_length_a 19.251
_cell_length_b 4.026
_cell_length_c 8.935
_cell_angle_alpha 90.00
_cell_angle_beta 108.39
_cell_angle_gamma 90.00
_space_group_name_H-M_alt 'C 1 2/m 1'
_space_group_IT_number 12
loop_
_space_group_symop_operation_xyz
'x,y,z'
'-x,-y,-z'
'-x,y,-z'
'x,-y,z'
'x+1/2,y+1/2,z'
'-x+1/2,-y+1/2,-z'
'-x+1/2,y+1/2,-z'
'x+1/2,-y+1/2,z'
loop_
_atom_site_label
_atom_site_fract_x
_atom_site_fract_y
_atom_site_fract_z
Pr1 0.020 0.000 0.257
Pr2 0.163 0.500 0.124
Pr3 0.181 0.500 0.566
Ga1 0.000 0.500 0.000
Co1 0.170 0.000 0.343
Cl1 0.000 0.500 0.500
Cl2 0.165 0.000 0.841

8.
# GaCoPt2Cl (PBE, optimized geometry)
# **Total DFT energy (no corrections)**: -18.168 eV per cell
# **E_form (uncorrected)**: 1.18 eV/atom
# **Spin magnetization**: 1.9 μB per formula unit
data_GaCoPt2Cl
_chemical_formula_sum 'Ga1 Co1 Pt2 Cl1'
_cell_length_a 4.518
_cell_length_b 4.518
_cell_length_c 4.966
_cell_angle_alpha 90.00
_cell_angle_beta 90.00
_cell_angle_gamma 90.00
_space_group_name_H-M_alt 'P 4/m m m'
_space_group_IT_number 123
_space_group_name_Hall '-P 4 2'
loop_
_atom_site_label
_atom_site_fract_x
_atom_site_fract_y
_atom_site_fract_z
Ga1 0.000 0.000 0.000
Co1 0.500 0.500 0.000
Pt1 0.000 0.500 0.500
Cl1 0.000 0.000 0.500